w:
Material: YSc2Pd2
Method: DFT, GGA-PBE
State: optimized geometry

symmetry: I4/mmm, No. 139

Cell and atoms, written as extended XYZ:
```
5
Lattice="3.083 -3.083 0.000 3.083 3.083 0.000 -3.083 0.000 5.816" Properties=species:S:1:pos:R:3 pbc="T T T"
Y 0.000 0.000 0.000
Pd 0.000 0.000 4.507
Sc 1.542 -1.542 2.908
Sc 1.542 1.542 2.908
Pd 3.083 0.000 1.309
```

x:
Material: YSc2Pd2
Method: DFT, GGA-PBE
State: optimized geometry

symmetry: I4/mmm, No. 139

Cell and atoms, written as extended XYZ:
```
5
Lattice="-2.350 2.350 5.183 2.350 -2.350 5.183 2.350 2.350 -5.183" Properties=species:S:1:pos:R:3 pbc="T T T"
Sc 0.000 0.000 6.673
Y 0.000 0.000 0.000
Pd 0.000 2.350 2.591
Sc 0.000 0.000 3.693
Pd 2.350 0.000 2.591
```

Most stable of them? w.